1.
# Pm2NdAl2Ag2 | Alexandria | PBE | optimized geometry
# symmetry	R-3m, No. 166
# total magnetic moment	0.0	μB/f.u.
# V	25.18	A^3/atom
# energy of formation from the pure elements	-286	meV/atom
data_Pm2NdAl2Ag2
_space_group_name_H-M_alt 'P 1'
_space_group_IT_number 1
_cell_length_a 4.7170
_cell_length_b 4.7170
_cell_length_c 9.5436
_cell_angle_alpha 75.69
_cell_angle_beta 75.69
_cell_angle_gamma 60.00
loop_
_space_group_symop_operation_xyz
'x,y,z'
loop_
_atom_site_label
_atom_site_type_symbol
_atom_site_fract_x
_atom_site_fract_y
_atom_site_fract_z
Al1 Al 0.2611 0.2611 0.2168
Al2 Al 0.7389 0.7389 0.7832
Ag1 Ag 0.3999 0.3999 0.8002
Ag2 Ag 0.6001 0.6001 0.1998
Nd1 Nd 0.0000 0.0000 0.0000
Pm1 Pm 0.1272 0.1272 0.6183
Pm2 Pm 0.8728 0.8728 0.3817

2.
# PrNd2Al2Ag2 | Alexandria | PBE | optimized geometry
# symmetry	R-3m, No. 166
# total magnetic moment	0.0	μB/f.u.
# V	25.59	A^3/atom
# energy of formation from the pure elements	-283	meV/atom
data_PrNd2Al2Ag2
_space_group_name_H-M_alt 'P 1'
_space_group_IT_number 1
_cell_length_a 4.7321
_cell_length_b 4.7321
_cell_length_c 9.6316
_cell_angle_alpha 75.78
_cell_angle_beta 75.78
_cell_angle_gamma 60.00
loop_
_space_group_symop_operation_xyz
'x,y,z'
loop_
_atom_site_label
_atom_site_type_symbol
_atom_site_fract_x
_atom_site_fract_y
_atom_site_fract_z
Ag1 Ag 0.5999 0.5999 0.2002
Ag2 Ag 0.4001 0.4001 0.7998
Al1 Al 0.7389 0.7389 0.7834
Al2 Al 0.2611 0.2611 0.2166
Nd1 Nd 0.8725 0.8725 0.3824
Nd2 Nd 0.1275 0.1275 0.6176
Pr1 Pr 0.0000 0.0000 0.0000

3.
# NdAl3AgPt | Alexandria | PBE | optimized geometry
# symmetry	Cmcm, No. 63
# total magnetic moment	0.0	μB/f.u.
# V	20.00	A^3/atom
# energy of formation from the pure elements	-481	meV/atom
data_NdAl3AgPt
_space_group_name_H-M_alt 'P 1'
_space_group_IT_number 1
_cell_length_a 5.9837
_cell_length_b 5.9677
_cell_length_c 7.3526
_cell_angle_alpha 113.94
_cell_angle_beta 90.00
_cell_angle_gamma 90.00
loop_
_space_group_symop_operation_xyz
'x,y,z'
loop_
_atom_site_label
_atom_site_type_symbol
_atom_site_fract_x
_atom_site_fract_y
_atom_site_fract_z
Al1 Al 0.5000 0.7198 0.0000
Al2 Al 0.0000 0.7198 0.0000
Al3 Al 0.2500 0.1292 0.2584
Al4 Al 0.7500 0.8708 0.7416
Al5 Al 0.0000 0.2802 0.0000
Al6 Al 0.5000 0.2802 0.0000
Nd1 Nd 0.7500 0.2963 0.5927
Nd2 Nd 0.2500 0.7037 0.4073
Ag1 Ag 0.7500 0.6607 0.3214
Ag2 Ag 0.2500 0.3393 0.6786
Pt1 Pt 0.2500 0.9135 0.8270
Pt2 Pt 0.7500 0.0865 0.1730